Entry 1:
Here is Tm4TeC2 after structural relaxation from the Alexandria database. Energies are from PBE.

a b c (Å): 3.743 6.375 12.585
angles (deg): 90.00 90.00 107.07
Fractional coordinates of all 14 atoms:
C (0.135, 0.270, 0.441)
C (0.865, 0.730, 0.941)
C (0.135, 0.270, 0.059)
C (0.865, 0.730, 0.559)
Tm (0.756, 0.513, 0.102)
Tm (0.756, 0.513, 0.398)
Tm (0.244, 0.487, 0.898)
Tm (0.244, 0.487, 0.602)
Tm (0.915, 0.829, 0.750)
Tm (0.085, 0.171, 0.250)
Tm (0.500, 0.000, 0.000)
Tm (0.500, 0.000, 0.500)
Te (0.609, 0.217, 0.750)
Te (0.391, 0.783, 0.250)

Total energy = -6.28 eV per atom
Space-group type = Cmcm (63)
Magnetic moment = 0.28 μB per formula unit

---

Entry 2:
Here is Zr2AlPb after structural relaxation from the Alexandria database. Energies are from PBE.

a b c (Å): 5.028 5.028 5.028
angles (deg): 60.00 60.00 60.00
Fractional coordinates of all 4 atoms:
Pb (0.750, 0.750, 0.750)
Al (0.500, 0.500, 0.500)
Zr (0.000, 0.000, 0.000)
Zr (0.250, 0.250, 0.250)

Total energy = -5.88 eV per atom
Energy of formation from the pure elements = 0.252 eV per atom
Space-group type = F-43m (216)
Magnetic moment = 1.40 μB per formula unit

---

Entry 3:
Here is DyEr5Tl6 after structural relaxation from the Alexandria database. Energies are from PBE.

a b c (Å): 6.450 9.821 7.432
angles (deg): 48.64 81.59 77.22
Fractional coordinates of all 12 atoms:
Dy (0.000, 0.000, 0.000)
Er (0.500, 0.167, 0.667)
Er (0.000, 0.334, 0.332)
Er (0.500, 0.500, 0.000)
Er (0.000, 0.666, 0.668)
Er (0.500, 0.833, 0.333)
Tl (0.749, 0.083, 0.335)
Tl (0.251, 0.582, 0.335)
Tl (0.252, 0.250, 0.000)
Tl (0.748, 0.750, 0.000)
Tl (0.749, 0.418, 0.665)
Tl (0.251, 0.917, 0.665)

Total energy = -3.71 eV per atom
Energy of formation from the pure elements = -0.242 eV per atom
Space-group type = C2/m (12)
Magnetic moment = 0.00 μB per formula unit

---

Entry 4:
Here is LaS2O6 after structural relaxation from the Alexandria database. Energies are from PBE.

a b c (Å): 6.907 7.416 6.907
angles (deg): 65.41 86.77 65.41
Fractional coordinates of all 18 atoms:
La (0.872, 0.750, 0.128)
La (0.128, 0.250, 0.872)
S (0.413, 0.730, 0.225)
S (0.775, 0.770, 0.587)
S (0.587, 0.270, 0.775)
S (0.225, 0.230, 0.413)
O (0.196, 0.433, 0.446)
O (0.554, 0.067, 0.804)
O (0.804, 0.567, 0.554)
O (0.446, 0.933, 0.196)
O (0.139, 0.102, 0.598)
O (0.402, 0.398, 0.861)
O (0.861, 0.898, 0.402)
O (0.598, 0.602, 0.139)
O (0.201, 0.831, 0.075)
O (0.925, 0.669, 0.799)
O (0.799, 0.169, 0.925)
O (0.075, 0.331, 0.201)

Total energy = -6.57 eV per atom
Space-group type = C2/c (15)
Magnetic moment = 1.02 μB per formula unit

---

Which value of magnetic moment does entry 2 give?
1.40 μB per formula unit